## w
This record from Alexandria via LeMat-Bulk describes crystalline InAg2Pd8 at its relaxed geometry. The functional is PBE.

Density of states at the Fermi level ... 10.7 states/eV/f.u.
Crystal system ... monoclinic
Total magnetization ... 0.000 μB/cell

Geometry as extended XYZ:
```
11
Lattice="-1.456 2.261 -4.294 -5.660 -1.757 -4.726 -6.810 2.926 0.989" Properties=species:S:1:pos:R:3 pbc="T T T"
In -0.728 1.130 -2.147
Ag -4.361 0.585 -1.073
Ag -8.108 0.584 -2.663
Pd -3.398 2.459 -3.997
Pd -8.392 3.649 -4.538
Pd -2.830 -0.022 -3.335
Pd -8.088 0.999 -5.440
Pd -5.837 2.431 -2.590
Pd -4.285 0.526 -5.684
Pd -5.533 -0.219 -3.492
Pd -10.527 0.971 -4.033
```



## x
This record from Alexandria via LeMat-Bulk describes crystalline InAg2Pd8 at its relaxed geometry. The functional is PBE.

Density of states at the Fermi level ... 11.1 states/eV/f.u.
Crystal system ... orthorhombic
Total magnetization ... 0.000 μB/cell

Geometry as extended XYZ:
```
11
Lattice="3.901 -0.885 -0.697 -1.110 6.726 -2.907 -0.682 0.522 7.361" Properties=species:S:1:pos:R:3 pbc="T T T"
In 2.308 -0.480 -0.386
Ag 1.262 3.892 0.061
Ag 1.399 1.913 3.336
Pd 2.696 2.007 -1.352
Pd 2.846 -0.161 2.236
Pd -0.636 3.297 2.019
Pd -0.433 1.393 5.570
Pd -0.720 5.558 -1.322
Pd 1.890 4.591 2.695
Pd -0.131 6.021 1.393
Pd 0.006 4.031 4.686
```



Most stable: x (next structure +117 meV per atom)



## w
This record from Alexandria via LeMat-Bulk describes crystalline InAgPd4 at its relaxed geometry. The functional is PBE.

Density of states at the Fermi level ... 2.6 states/eV/f.u.
Crystal system ... monoclinic
Total magnetization ... 0.000 μB/cell

Geometry as extended XYZ:
```
6
Lattice="3.824 0.000 1.106 2.139 4.439 -0.230 0.271 -1.659 6.225" Properties=species:S:1:pos:R:3 pbc="T T T"
In 3.117 1.390 3.550
Ag 0.000 0.000 0.000
Pd 4.482 0.828 5.997
Pd 1.365 -0.545 2.445
Pd 1.753 1.952 1.104
Pd 4.869 3.325 4.656
```



## x
This record from Alexandria via LeMat-Bulk describes crystalline InAgPd4 at its relaxed geometry. The functional is PBE.

Density of states at the Fermi level ... 9.3 states/eV/f.u.
Crystal system ... cubic
Total magnetization ... 0.000 μB/cell

Geometry as extended XYZ:
```
6
Lattice="-0.931 4.836 1.967 -1.716 0.548 4.987 3.214 2.020 3.703" Properties=species:S:1:pos:R:3 pbc="T T T"
Pd -1.253 3.617 4.810
Pd 1.212 4.353 4.167
Pd 0.354 4.627 6.661
Pd 0.819 2.209 5.678
Ag 0.000 0.000 0.000
In 0.141 1.851 2.664
```



Most stable: w (next structure +206 meV per atom)



## w
This record from Alexandria via LeMat-Bulk describes crystalline SrInAgPd at its relaxed geometry. The functional is PBE.

Density of states at the Fermi level ... 2.7 states/eV/f.u.
Crystal system ... monoclinic
Total magnetization ... 0.000 μB/cell

Geometry as extended XYZ:
```
4
Lattice="4.760 0.000 0.000 -2.380 4.112 -0.009 0.000 -2.746 5.236" Properties=species:S:1:pos:R:3 pbc="T T T"
Sr 2.380 -0.393 2.616
In 0.000 -1.765 4.982
Ag 2.380 2.352 0.579
Pd 0.000 0.978 4.724
```



## x
This record from Alexandria via LeMat-Bulk describes crystalline SrInAgPd at its relaxed geometry. The functional is PBE.

Density of states at the Fermi level ... 2.0 states/eV/f.u.
Crystal system ... cubic
Total magnetization ... 0.000 μB/cell

Geometry as extended XYZ:
```
4
Lattice="-4.269 -2.589 -0.871 -2.150 -2.671 3.732 -4.370 1.559 2.039" Properties=species:S:1:pos:R:3 pbc="T T T"
Sr -8.092 -2.776 3.675
Pd 0.000 0.000 0.000
Ag -5.395 -1.850 2.450
In -2.697 -0.925 1.225
```



Most stable: w (next structure +114 meV per atom)



## w
This record from Alexandria via LeMat-Bulk describes crystalline Pm2InAg3 at its relaxed geometry. The functional is PBE.

Density of states at the Fermi level ... 5.1 states/eV/f.u.
Crystal system ... orthorhombic
Total magnetization ... 0.000 μB/cell

Geometry as extended XYZ:
```
12
Lattice="-2.723 -3.179 4.276 -1.649 -5.351 -2.112 9.729 1.002 1.296" Properties=species:S:1:pos:R:3 pbc="T T T"
Pm 2.410 -3.221 3.327
Pm -2.461 -3.709 2.718
Pm 2.947 -4.307 0.133
Pm -1.911 -4.821 -0.554
In 0.321 -5.349 1.872
In 5.037 -2.179 1.588
Ag -2.030 -6.937 2.017
Ag 5.202 -4.855 2.525
Ag 7.387 -0.591 1.444
Ag 0.155 -2.673 0.935
Ag 2.514 -1.088 0.793
Ag 2.843 -6.440 2.668
```



## x
This record from Alexandria via LeMat-Bulk describes crystalline Pm2InAg3 at its relaxed geometry. The functional is PBE.

Density of states at the Fermi level ... 4.4 states/eV/f.u.
Crystal system ... orthorhombic
Total magnetization ... 0.000 μB/cell

Geometry as extended XYZ:
```
6
Lattice="-1.949 2.142 2.468 -3.851 -1.073 -2.111 1.926 -7.619 5.200" Properties=species:S:1:pos:R:3 pbc="T T T"
Pm -0.245 -1.782 1.353
Pm -1.696 -4.175 5.216
In -2.823 -7.058 3.896
Ag -3.283 -2.248 2.291
Ag -2.985 -0.085 0.649
Ag -2.517 -4.839 2.211
```



Most stable: w (next structure +94 meV per atom)



## w
This record from Alexandria via LeMat-Bulk describes crystalline Pm2In2Ag3 at its relaxed geometry. The functional is PBE.

Density of states at the Fermi level ... 4.6 states/eV/f.u.
Crystal system ... orthorhombic
Total magnetization ... 0.000 μB/cell

Geometry as extended XYZ:
```
7
Lattice="-2.569 -0.717 2.177 -2.701 -1.099 -3.548 4.716 -9.668 2.378" Properties=species:S:1:pos:R:3 pbc="T T T"
Pm 1.047 -7.826 -1.344
Pm 0.969 -2.941 0.174
In -1.216 -5.214 -0.431
In 0.663 -6.271 1.438
Ag -2.203 -2.219 -0.608
Ag 1.650 -9.266 1.615
Ag 0.000 0.000 0.000
```



## x
This record from Alexandria via LeMat-Bulk describes crystalline Pm2In2Ag3 at its relaxed geometry. The functional is PBE.

Density of states at the Fermi level ... 4.8 states/eV/f.u.
Crystal system ... orthorhombic
Total magnetization ... 0.000 μB/cell

Geometry as extended XYZ:
```
14
Lattice="4.027 0.000 -0.960 0.000 8.045 0.000 0.406 0.000 10.630" Properties=species:S:1:pos:R:3 pbc="T T T"
Pm 0.713 2.011 2.990
Pm 3.720 6.034 6.680
Pm 4.164 2.011 8.541
Pm 0.269 6.034 1.129
In 2.904 7.604 3.254
In 1.530 0.441 6.416
In 1.530 3.582 6.416
In 2.904 4.463 3.254
Ag 1.139 6.034 4.775
Ag 3.295 2.011 4.895
Ag 2.289 3.418 0.674
Ag 2.145 4.627 8.996
Ag 2.145 7.440 8.996
Ag 2.289 0.605 0.674
```



Most stable: x (next structure +86 meV per atom)



## w
This record from Alexandria via LeMat-Bulk describes crystalline Pm6InAg5 at its relaxed geometry. The functional is PBE.

Density of states at the Fermi level ... 10.2 states/eV/f.u.
Crystal system ... monoclinic
Total magnetization ... 0.007 μB/cell

Geometry as extended XYZ:
```
12
Lattice="5.170 0.002 -1.073 -0.003 7.582 -0.001 -0.953 0.000 8.294" Properties=species:S:1:pos:R:3 pbc="T T T"
Pm 3.661 5.678 4.591
Pm 3.663 1.908 4.592
Pm 2.584 1.962 -0.537
Pm 1.629 5.623 7.757
Pm 0.550 5.677 2.629
Pm 0.552 1.907 2.629
Ag 3.128 3.793 2.050
Ag 1.111 0.001 5.277
Ag -0.002 3.791 0.000
Ag 3.102 7.584 1.944
Ag 1.085 3.792 5.170
In 0.000 0.000 0.000
```



## x
This record from Alexandria via LeMat-Bulk describes crystalline Pm6InAg5 at its relaxed geometry. The functional is PBE.

Density of states at the Fermi level ... 12.3 states/eV/f.u.
Crystal system ... monoclinic
Total magnetization ... 0.000 μB/cell

Geometry as extended XYZ:
```
12
Lattice="-1.579 4.446 6.454 -7.530 -1.518 1.160 -2.372 -5.118 3.924" Properties=species:S:1:pos:R:3 pbc="T T T"
Pm -2.754 1.256 6.139
Pm -5.382 -1.371 3.810
Pm -2.697 0.392 1.635
Pm -6.413 2.537 5.979
Pm -6.099 -0.818 7.728
Pm -8.727 -3.444 5.399
In 0.000 0.000 0.000
Ag -3.499 -1.839 6.341
Ag -3.134 -2.733 2.095
Ag -4.555 1.464 3.807
Ag -6.768 -3.902 2.989
Ag -7.982 -0.350 5.197
```



Most stable: w (next structure +192 meV per atom)



## w
This record from Alexandria via LeMat-Bulk describes crystalline Pm3In4Ag4 at its relaxed geometry. The functional is PBE.

Density of states at the Fermi level ... 8.1 states/eV/f.u.
Crystal system ... orthorhombic
Total magnetization ... 0.000 μB/cell

Geometry as extended XYZ:
```
11
Lattice="-2.382 -3.943 0.129 6.321 -3.855 -1.094 -0.874 3.492 8.247" Properties=species:S:1:pos:R:3 pbc="T T T"
Pm 0.274 -0.102 1.946
Pm 2.790 -4.204 5.337
Pm 3.161 -1.927 -0.547
In -0.544 0.504 5.358
In 1.072 -3.263 2.364
In 3.608 -4.810 1.925
In 1.993 -1.043 4.919
Ag 3.632 -2.103 2.797
Ag -0.568 -2.203 4.486
Ag 3.932 -5.096 -0.822
Ag 0.006 -2.702 -0.142
```



## x
This record from Alexandria via LeMat-Bulk describes crystalline Pm3In4Ag4 at its relaxed geometry. The functional is PBE.

Density of states at the Fermi level ... 6.6 states/eV/f.u.
Crystal system ... orthorhombic
Total magnetization ... 0.000 μB/cell

Geometry as extended XYZ:
```
11
Lattice="4.922 0.000 0.000 0.000 3.639 0.000 -2.461 -1.820 14.975" Properties=species:S:1:pos:R:3 pbc="T T T"
Pm 0.000 1.820 10.699
Pm 2.461 0.000 4.276
Pm 0.000 0.000 0.000
In 2.461 0.000 9.348
In 0.000 0.000 13.515
In 2.461 1.820 1.460
In 0.000 1.820 5.627
Ag 0.000 0.000 7.893
Ag 0.000 1.820 2.801
Ag 2.461 0.000 12.174
Ag 2.461 1.820 7.083
```



Most stable: x (next structure +38 meV per atom)



## w
This record from Alexandria via LeMat-Bulk describes crystalline Pm2In3Ag at its relaxed geometry. The functional is PBE.

Density of states at the Fermi level ... 4.3 states/eV/f.u.
Crystal system ... orthorhombic
Total magnetization ... 0.000 μB/cell

Geometry as extended XYZ:
```
12
Lattice="5.928 -0.362 -1.651 -1.866 5.638 -1.651 0.283 0.368 9.302" Properties=species:S:1:pos:R:3 pbc="T T T"
Pm 0.224 4.322 3.000
Pm 3.028 3.933 -2.461
Pm 4.121 1.322 3.000
Pm 1.034 1.344 -0.841
In 0.508 4.624 -0.349
In 0.004 3.970 6.350
In 3.837 1.020 6.350
In 4.341 1.674 -0.349
In 0.782 1.016 2.586
In 3.563 4.628 3.415
Ag 2.807 3.647 0.917
Ag 1.537 1.997 5.084
```



## x
This record from Alexandria via LeMat-Bulk describes crystalline Pm2In3Ag at its relaxed geometry. The functional is PBE.

Density of states at the Fermi level ... 4.1 states/eV/f.u.
Crystal system ... orthorhombic
Total magnetization ... 0.000 μB/cell

Geometry as extended XYZ:
```
6
Lattice="-1.232 3.414 0.744 -2.388 0.078 -4.312 -6.911 -3.314 3.767" Properties=species:S:1:pos:R:3 pbc="T T T"
Pm -1.212 0.031 -2.146
Pm -3.448 -1.653 1.879
In -6.400 -1.067 3.525
In -1.830 1.124 1.034
In -6.348 -0.430 0.690
Ag -4.085 0.655 -0.544
```



Most stable: x (next structure +6 meV per atom)